{
  "formula": "Ta2PAu",
  "functional": "PBE",
  "state": "optimized geometry",
  "lattice_angstrom": [[3.308, -3.320, 0.000], [3.308, 3.320, 0.000], [0.000, 0.000, 3.007]],
  "species": ["Ta", "Ta", "P", "Au"],
  "fractional_positions": [[0.500, 0.000, 0.000], [0.000, 0.500, 0.000], [0.000, 0.000, 0.500], [0.500, 0.500, 0.500]],
  "delta_e_f_mev_per_atom": -59,
  "dos_ef_per_ev_fu": 2.7,
  "space_group": "Cmmm"
}